Compound: SbRuW2
Source: Alexandria
Functional: PBE-GGA
Structure: relaxed

Spin magnetization (μB/atom): 0.000
DFT total energy (eV for the cell shown): -150.120
Crystal system: cubic

Lattice parameters (Å, degrees): 6.422 6.422 6.422 90.00 90.00 90.00
Fractional positions:
Sb: 0.000 0.000 0.000
Sb: 0.000 0.500 0.500
Sb: 0.500 0.000 0.500
Sb: 0.500 0.500 0.000
Ru: 0.250 0.250 0.750
Ru: 0.250 0.750 0.250
Ru: 0.750 0.250 0.250
Ru: 0.750 0.750 0.750
W: 0.000 0.000 0.500
W: 0.000 0.500 0.000
W: 0.250 0.250 0.250
W: 0.250 0.750 0.750
W: 0.500 0.000 0.000
W: 0.500 0.500 0.500
W: 0.750 0.250 0.750
W: 0.750 0.750 0.250

Compound: SbRu2W
Source: Alexandria
Functional: PBE-GGA
Structure: relaxed

Spin magnetization (μB/atom): 0.000
DFT total energy (eV for the cell shown): -34.332
Crystal system: tetragonal

Lattice parameters (Å, degrees): 3.038 3.038 7.017 90.00 90.00 90.00
Fractional positions:
Sb: 0.000 0.000 0.000
Ru: 0.000 0.000 0.511
Ru: 0.500 0.500 0.771
W: 0.500 0.500 0.284

Compound: SbRu3W
Source: Alexandria
Functional: PBE-GGA
Structure: relaxed

Spin magnetization (μB/atom): 0.000
DFT total energy (eV for the cell shown): -37.851
Crystal system: cubic

Lattice parameters (Å, degrees): 4.707 4.707 4.707 90.00 90.00 90.00
Fractional positions:
Sb: 0.000 0.000 0.000
Ru: 0.000 0.500 0.500
Ru: 0.500 0.000 0.500
Ru: 0.500 0.500 0.000
W: 0.500 0.500 0.500

Compound: SbRu2W
Source: Alexandria
Functional: PBE-GGA
Structure: relaxed

Spin magnetization (μB/atom): 0.000
DFT total energy (eV for the cell shown): -69.010
Crystal system: orthorhombic

Lattice parameters (Å, degrees): 3.092 4.541 9.195 90.00 90.00 90.00
Fractional positions:
Sb: 0.000 0.000 0.000
Sb: 0.500 0.500 0.500
Ru: 0.000 0.000 0.505
Ru: 0.000 0.500 0.726
Ru: 0.500 0.000 0.226
Ru: 0.500 0.500 0.005
W: 0.000 0.500 0.255
W: 0.500 0.000 0.755

Compound: SbRuW2
Source: Alexandria
Functional: PBE-GGA
Structure: relaxed

Spin magnetization (μB/atom): 0.000
DFT total energy (eV for the cell shown): -74.676
Crystal system: orthorhombic

Lattice parameters (Å, degrees): 5.280 8.562 2.961 90.00 90.00 90.00
Fractional positions:
Sb: 0.000 0.000 0.000
Sb: 0.500 0.500 0.000
Ru: 0.000 0.500 0.000
Ru: 0.500 0.000 0.000
W: 0.250 0.250 0.500
W: 0.250 0.750 0.500
W: 0.750 0.250 0.500
W: 0.750 0.750 0.500

Compound: Sb2RuW
Source: Alexandria
Functional: PBE-GGA
Structure: relaxed

Spin magnetization (μB/atom): 0.000
DFT total energy (eV for the cell shown): -58.196
Crystal system: monoclinic

Lattice parameters (Å, degrees): 9.653 3.293 4.808 90.00 106.98 90.00
Fractional positions:
Sb: 0.000 0.000 0.000
Sb: 0.232 0.000 0.622
Sb: 0.500 0.500 0.000
Sb: 0.732 0.500 0.622
Ru: 0.489 0.000 0.509
Ru: 0.989 0.500 0.509
W: 0.243 0.500 0.118
W: 0.743 0.000 0.118

Compound: Sb2RuW
Source: Alexandria
Functional: PBE-GGA
Structure: relaxed

Spin magnetization (μB/atom): 0.000
DFT total energy (eV for the cell shown): -116.355
Crystal system: cubic

Lattice parameters (Å, degrees): 6.588 6.588 6.588 90.00 90.00 90.00
Fractional positions:
Sb: 0.250 0.250 0.250
Sb: 0.250 0.250 0.750
Sb: 0.250 0.750 0.250
Sb: 0.250 0.750 0.750
Sb: 0.750 0.250 0.250
Sb: 0.750 0.250 0.750
Sb: 0.750 0.750 0.250
Sb: 0.750 0.750 0.750
Ru: 0.000 0.000 0.000
Ru: 0.000 0.500 0.500
Ru: 0.500 0.000 0.500
Ru: 0.500 0.500 0.000
W: 0.000 0.000 0.500
W: 0.000 0.500 0.000
W: 0.500 0.000 0.000
W: 0.500 0.500 0.500

Compound: SbRuW2
Source: Alexandria
Functional: PBE-GGA
Structure: relaxed

Spin magnetization (μB/atom): 0.000
DFT total energy (eV for the cell shown): -75.121
Crystal system: orthorhombic

Lattice parameters (Å, degrees): 3.437 4.400 8.782 90.00 90.00 90.00
Fractional positions:
Sb: 0.000 0.000 0.000
Sb: 0.500 0.500 0.500
Ru: 0.000 0.500 0.263
Ru: 0.500 0.000 0.763
W: 0.000 0.000 0.500
W: 0.000 0.500 0.757
W: 0.500 0.000 0.257
W: 0.500 0.500 0.000

Compound: Sb2RuW
Source: Alexandria
Functional: PBE-GGA
Structure: relaxed

Spin magnetization (μB/atom): 0.000
DFT total energy (eV for the cell shown): -27.521
Crystal system: orthorhombic

Lattice parameters (Å, degrees): 3.260 4.324 5.430 90.00 90.00 90.00
Fractional positions:
Sb: 0.000 0.000 0.000
Sb: 0.500 0.000 0.500
Ru: 0.000 0.500 0.500
W: 0.500 0.500 0.000

Compound: SbRu2W
Source: Alexandria
Functional: PBE-GGA
Structure: relaxed

Spin magnetization (μB/atom): 0.000
DFT total energy (eV for the cell shown): -35.087
Crystal system: tetragonal

Lattice parameters (Å, degrees): 2.986 2.986 7.221 90.00 90.00 90.00
Fractional positions:
Sb: 0.000 0.000 0.000
Ru: 0.500 0.500 0.257
Ru: 0.500 0.500 0.743
W: 0.000 0.000 0.500

Compound: SbRuW2
Source: Alexandria
Functional: PBE-GGA
Structure: relaxed

Spin magnetization (μB/atom): 0.000
DFT total energy (eV for the cell shown): -76.059
Crystal system: monoclinic

Lattice parameters (Å, degrees): 9.706 3.084 4.569 90.00 101.91 90.00
Fractional positions:
Sb: 0.000 0.000 0.000
Sb: 0.500 0.500 0.000
Ru: 0.000 0.500 0.500
Ru: 0.500 0.000 0.500
W: 0.244 0.000 0.731
W: 0.256 0.500 0.269
W: 0.744 0.500 0.731
W: 0.756 0.000 0.269

Compound: SbRu2W
Source: Alexandria
Functional: PBE-GGA
Structure: relaxed

Spin magnetization (μB/atom): 0.000
DFT total energy (eV for the cell shown): -129.296
Crystal system: tetragonal

Lattice parameters (Å, degrees): 5.754 5.754 11.444 90.00 90.00 90.00
Fractional positions:
Sb: 0.000 0.000 0.000
Sb: 0.000 0.500 0.250
Sb: 0.500 0.000 0.750
Sb: 0.500 0.500 0.500
Ru: 0.227 0.250 0.625
Ru: 0.250 0.727 0.875
Ru: 0.250 0.773 0.375
Ru: 0.273 0.250 0.125
Ru: 0.727 0.750 0.125
Ru: 0.750 0.227 0.375
Ru: 0.750 0.273 0.875
Ru: 0.773 0.750 0.625
W: 0.000 0.000 0.500
W: 0.000 0.500 0.750
W: 0.500 0.000 0.250
W: 0.500 0.500 0.000